No. 1
Here is a relaxed structure of Dy2LuHg from Alexandria. Energies are from PBE.

The value obtained for the total energy is -3.403 eV/atom. As for the space group: R-3m. The value obtained for the energy relative to the elements is 0.103 eV per atom. As for the total moment: 0.0 μB/f.u.

The structure in extended XYZ format:
```
4
Lattice="1.736 1.002 11.866 -1.736 1.002 11.866 0.000 -2.005 11.866" Properties=species:S:1:pos:R:3 pbc="T T T"
Dy 0.000 0.000 3.169
Dy 0.000 0.000 32.428
Lu 0.000 0.000 17.798
Hg 0.000 0.000 0.000
```



No. 2
Here is a relaxed structure of Dy2LuHg from Alexandria. Energies are from PBE.

The value obtained for the total energy is -3.569 eV/atom. As for the space group: Fm-3m. The value obtained for the energy relative to the elements is -0.063 eV per atom. As for the total moment: 0.1 μB/f.u.

The structure in extended XYZ format:
```
4
Lattice="0.000 3.796 3.796 3.796 0.000 3.796 3.796 3.796 0.000" Properties=species:S:1:pos:R:3 pbc="T T T"
Dy 1.898 1.898 1.898
Dy 5.694 5.694 5.694
Lu 0.000 0.000 0.000
Hg 3.796 3.796 3.796
```



No. 3
Here is a relaxed structure of DyLu2Hg from Alexandria. Energies are from PBE.

The value obtained for the total energy is -3.717 eV/atom. As for the space group: P4/mmm. The value obtained for the energy relative to the elements is -0.230 eV per atom. As for the total moment: 0.0 μB/f.u.

The structure in extended XYZ format:
```
4
Lattice="3.533 0.000 0.000 0.000 3.533 0.000 0.000 0.000 8.835" Properties=species:S:1:pos:R:3 pbc="T T T"
Dy 0.000 0.000 0.000
Lu 1.766 1.766 2.457
Lu 1.766 1.766 6.378
Hg 0.000 0.000 4.418
```



No. 4
Here is a relaxed structure of DyLuMgHg from Alexandria. Energies are from PBE.

The value obtained for the total energy is -3.006 eV/atom. As for the space group: F-43m. The value obtained for the energy relative to the elements is -0.251 eV per atom. As for the total moment: 0.0 μB/f.u.

The structure in extended XYZ format:
```
4
Lattice="0.000 3.708 3.708 3.708 0.000 3.708 3.708 3.708 0.000" Properties=species:S:1:pos:R:3 pbc="T T T"
Dy 0.000 0.000 0.000
Lu 3.708 3.708 3.708
Mg 5.562 5.562 5.562
Hg 1.854 1.854 1.854
```



No. 5
Here is a relaxed structure of DyLuMnHg from Alexandria. Energies are from PBE.

The value obtained for the total energy is -4.730 eV/atom. As for the space group: F-43m. The value obtained for the energy relative to the elements is -0.081 eV per atom. As for the total moment: 3.1 μB/f.u.

The structure in extended XYZ format:
```
4
Lattice="0.000 3.602 3.602 3.602 0.000 3.602 3.602 3.602 0.000" Properties=species:S:1:pos:R:3 pbc="T T T"
Dy 0.000 0.000 0.000
Lu 3.602 3.602 3.602
Mn 5.404 5.404 5.404
Hg 1.801 1.801 1.801
```



No. 6
Here is a relaxed structure of NdDyLuHg from Alexandria. Energies are from PBE.

The value obtained for the total energy is -3.622 eV/atom. As for the space group: F-43m. The value obtained for the energy relative to the elements is -0.073 eV per atom. As for the total moment: 0.0 μB/f.u.

The structure in extended XYZ format:
```
4
Lattice="0.000 3.845 3.845 3.845 0.000 3.845 3.845 3.845 0.000" Properties=species:S:1:pos:R:3 pbc="T T T"
Nd 0.000 0.000 0.000
Dy 3.845 3.845 3.845
Lu 1.923 1.923 1.923
Hg 5.768 5.768 5.768
```



No. 7
Here is a relaxed structure of DyLuNiHg from Alexandria. Energies are from PBE.

The value obtained for the total energy is -4.178 eV/atom. As for the space group: F-43m. The value obtained for the energy relative to the elements is -0.376 eV per atom. As for the total moment: 0.0 μB/f.u.

The structure in extended XYZ format:
```
4
Lattice="0.000 3.531 3.531 3.531 0.000 3.531 3.531 3.531 0.000" Properties=species:S:1:pos:R:3 pbc="T T T"
Dy 0.000 0.000 0.000
Lu 3.531 3.531 3.531
Ni 5.297 5.297 5.297
Hg 1.766 1.766 1.766
```



No. 8
Here is a relaxed structure of DyLuHgOs from Alexandria. Energies are from PBE.

The value obtained for the total energy is -5.453 eV/atom. As for the space group: F-43m. The value obtained for the energy relative to the elements is -0.290 eV per atom. As for the total moment: 0.0 μB/f.u.

The structure in extended XYZ format:
```
4
Lattice="0.000 3.511 3.511 3.511 0.000 3.511 3.511 3.511 0.000" Properties=species:S:1:pos:R:3 pbc="T T T"
Dy 0.000 0.000 0.000
Lu 3.511 3.511 3.511
Hg 5.266 5.266 5.266
Os 1.755 1.755 1.755
```



No. 9
Here is a relaxed structure of DyLuHgPb from Alexandria. Energies are from PBE.

The value obtained for the total energy is -3.690 eV/atom. As for the space group: F-43m. The value obtained for the energy relative to the elements is -0.406 eV per atom. As for the total moment: 0.0 μB/f.u.

The structure in extended XYZ format:
```
4
Lattice="0.000 3.745 3.745 3.745 0.000 3.745 3.745 3.745 0.000" Properties=species:S:1:pos:R:3 pbc="T T T"
Dy 0.000 0.000 0.000
Lu 3.745 3.745 3.745
Hg 1.873 1.873 1.873
Pb 5.618 5.618 5.618
```



No. 10
Here is a relaxed structure of DyLuHgRh from Alexandria. Energies are from PBE.

The value obtained for the total energy is -4.830 eV/atom. As for the space group: F-43m. The value obtained for the energy relative to the elements is -0.636 eV per atom. As for the total moment: 0.0 μB/f.u.

The structure in extended XYZ format:
```
4
Lattice="0.000 3.535 3.535 3.535 0.000 3.535 3.535 3.535 0.000" Properties=species:S:1:pos:R:3 pbc="T T T"
Dy 0.000 0.000 0.000
Lu 3.535 3.535 3.535
Hg 1.767 1.767 1.767
Rh 5.302 5.302 5.302
```



No. 11
Here is a relaxed structure of DyLuHgRu from Alexandria. Energies are from PBE.

The value obtained for the total energy is -5.058 eV/atom. As for the space group: F-43m. The value obtained for the energy relative to the elements is -0.383 eV per atom. As for the total moment: 0.0 μB/f.u.

The structure in extended XYZ format:
```
4
Lattice="0.000 3.520 3.520 3.520 0.000 3.520 3.520 3.520 0.000" Properties=species:S:1:pos:R:3 pbc="T T T"
Dy 0.000 0.000 0.000
Lu 3.520 3.520 3.520
Hg 5.280 5.280 5.280
Ru 1.760 1.760 1.760
```



No. 12
Here is a relaxed structure of DyLuSnHg from Alexandria. Energies are from PBE.

The value obtained for the total energy is -3.874 eV/atom. As for the space group: F-43m. The value obtained for the energy relative to the elements is -0.517 eV per atom. As for the total moment: 0.0 μB/f.u.

The structure in extended XYZ format:
```
4
Lattice="0.000 3.705 3.705 3.705 0.000 3.705 3.705 3.705 0.000" Properties=species:S:1:pos:R:3 pbc="T T T"
Dy 0.000 0.000 0.000
Lu 3.705 3.705 3.705
Sn 5.557 5.557 5.557
Hg 1.852 1.852 1.852
```